(1)
Material: CuSbTe2O
Method: DFT, GGA-PBE
State: optimized geometry

Output
Total magnetic moment = 0.00 μB/atom
Formation energy without anion corrections = 4.3 eV per formula unit
Polymorph energy (0 for the lowest one) = 502 meV/atom
ρ = 5.920 g/cm3

```
data_CuSbTe2O
_chemical_formula_sum 'Cu1 Sb1 Te2 O1'
_cell_length_a 4.990
_cell_length_b 4.990
_cell_length_c 5.142
_cell_angle_alpha 90.00
_cell_angle_beta 90.00
_cell_angle_gamma 90.00
_symmetry_space_group_name_H-M 'P 4/m m m'
_symmetry_Int_Tables_number 123
_symmetry_space_group_name_Hall '-P 4 2'
loop_
_atom_site_label
_atom_site_fract_x
_atom_site_fract_y
_atom_site_fract_z
Cu1 0.000 0.000 0.000
Sb1 0.000 0.000 0.500
Te1 0.000 0.500 0.000
O1 0.500 0.500 0.500
```

---

(2)
Material: YB2RuCl
Method: DFT, GGA-PBE
State: optimized geometry

Output
Total magnetic moment = 0.00 μB/atom
Formation energy without anion corrections = 0.7 eV per formula unit
ρ = 5.037 g/cm3

```
data_YB2RuCl
_chemical_formula_sum 'Y1 B2 Ru1 Cl1'
_cell_length_a 4.022
_cell_length_b 4.022
_cell_length_c 5.035
_cell_angle_alpha 90.00
_cell_angle_beta 90.00
_cell_angle_gamma 90.00
_symmetry_space_group_name_H-M 'P 4/m m m'
_symmetry_Int_Tables_number 123
_symmetry_space_group_name_Hall '-P 4 2'
loop_
_atom_site_label
_atom_site_fract_x
_atom_site_fract_y
_atom_site_fract_z
Y1 0.000 0.000 0.000
B1 0.000 0.500 0.500
Ru1 0.500 0.500 0.500
Cl1 0.500 0.500 0.000
```

---

Q: Which value of ρ does entry 1 give?
A: 5.920 g/cm3